A relaxed NaPr4Ho3Te8 crystal. Source: Alexandria, functional PBE.

It has space group R-3m (No. 166, hexagonal axes), with a = 8.8457 Å, b = 8.8457 Å, c = 22.0919 Å, α = 90.00°, β = 90.00° and γ = 120.00°. The distinct sites, in fractional coordinates, are Na at (0.0000, 0.0000, 0.0000), Pr at (0.0000, 0.0000, 0.5000), Pr at (0.0000, 0.5000, 0.5000), Ho at (0.0000, 0.5000, 0.0000), Te at (0.0000, 0.0000, 0.2553) and Te at (0.0009, 0.5005, 0.2551).

The calculation puts the raw formation energy at -1.3527 eV per atom. As for the crystal system: trigonal. The energy comes out at -80.947 eV/f.u.


A relaxed NaPrHo2Tl4 crystal. Source: Alexandria, functional PBE.

It has space group R-3m (No. 166, hexagonal axes), with a = 5.3593 Å, b = 5.3593 Å, c = 26.8975 Å, α = 90.00°, β = 90.00° and γ = 120.00°. The distinct sites, in fractional coordinates, are Na at (0.0000, 0.0000, 0.0000), Pr at (0.0000, 0.0000, 0.5000), Ho at (0.0000, 0.0000, 0.2539), Tl at (0.0000, 0.0000, 0.1224) and Tl at (0.0000, 0.0000, 0.3731).

The calculated formation energy is -289 meV/atom. As for the crystal system: trigonal. The energy comes out at -27.033 eV/f.u.


A relaxed NaHoPt2 crystal. Source: Alexandria, functional PBE.

It has space group P4/mmm (No. 123), with a = 3.5636 Å, b = 3.5636 Å, c = 6.0770 Å, α = 90.00°, β = 90.00° and γ = 90.00°. The distinct sites, in fractional coordinates, are Na at (0.0000, 0.0000, 0.0000), Ho at (0.0000, 0.0000, 0.5000) and Pt at (0.5000, 0.5000, 0.2504).

The calculated formation energy is -769 meV/atom. As for the crystal system: tetragonal. The energy comes out at -21.055 eV/f.u.